First-principles (PBE) data for crystalline LiTm2AgSe4 at its relaxed geometry, as listed in Alexandria.

Geometry as CIF:
```
data_LiTm2AgSe4
_chemical_formula_sum 'Li1 Tm2 Ag1 Se4'
_space_group_name_H-M_alt 'P 1 2/m 1'
_space_group_IT_number 10
_space_group_name_Hall '-P 2y'
_cell_length_a 6.9524
_cell_length_b 4.0720
_cell_length_c 7.0404
_cell_angle_alpha 90.00
_cell_angle_beta 109.79
_cell_angle_gamma 90.00
loop_
_atom_site_label
_atom_site_fract_x
_atom_site_fract_y
_atom_site_fract_z
Li1 0.0000 0.0000 0.0000
Tm1 0.5000 0.0000 0.5000
Tm2 0.5000 0.5000 0.0000
Ag1 0.0000 0.5000 0.5000
Se1 0.2551 0.5000 0.2484
Se2 0.2559 0.0000 0.7550
```

Properties
Its uncorrected formation energy is -137.1 kJ/mol of atoms. The total energy comes out at -39.02 eV per cell. The value obtained for the density of states at the Fermi level is 0.00 states/eV/atom.